1.
A relaxed structure of ZrAsAu. Source: the Alexandria database, functional GGA-PBE.

Calculated values
energy relative to the elements: -1.584 eV per formula unit

Unit cell a=5.888 b=8.630 c=5.438 alpha=90.00 beta=122.48 gamma=90.00
Sites, in units of the cell vectors:
As1 0.250 0.809 0.750
As2 0.750 0.691 0.750
As3 0.750 0.191 0.250
As4 0.250 0.309 0.250
Au1 0.750 0.025 0.750
Au2 0.750 0.525 0.250
Au3 0.250 0.975 0.250
Au4 0.250 0.475 0.750
Zr1 0.750 0.864 0.250
Zr2 0.250 0.136 0.750
Zr3 0.750 0.364 0.750
Zr4 0.250 0.636 0.250

***

2.
A relaxed structure of CaCdB2. Source: the Alexandria database, functional GGA-PBE.

Calculated values
energy relative to the elements: 3.019 eV per formula unit

Unit cell a=4.209 b=4.209 c=8.378 alpha=75.45 beta=75.45 gamma=90.00
Sites, in units of the cell vectors:
B1 0.875 0.125 0.750
B2 0.375 0.125 0.750
B3 0.875 0.125 0.250
B4 0.875 0.625 0.250
Ca1 0.250 0.750 0.500
Ca2 0.500 0.500 0.000
Cd1 0.750 0.250 0.500
Cd2 0.000 0.000 0.000

***

3.
A relaxed structure of AgPtCl2. Source: the Alexandria database, functional GGA-PBE.

Calculated values
ΔE_f (raw): 0.326 eV/atom

Unit cell a=4.706 b=4.707 c=3.302 alpha=90.00 beta=90.00 gamma=90.16
Sites, in units of the cell vectors:
Cl1 0.500 0.500 0.000
Cl2 0.000 0.000 0.000
Pt1 0.500 0.000 0.500
Ag1 0.000 0.500 0.500

***

4.
A relaxed structure of BSb3Mo. Source: the Alexandria database, functional GGA-PBE.

Calculated values
ΔE_f (raw): 1.364 eV/atom

Unit cell a=5.216 b=5.216 c=5.216 alpha=90.00 beta=90.00 gamma=90.00
Sites, in units of the cell vectors:
Sb1 0.000 0.500 0.000
Sb2 0.000 0.000 0.500
Sb3 0.500 0.000 0.000
Mo1 0.000 0.000 0.000
B1 0.500 0.500 0.500